Compound: Sr5PmMg6
Source: Alexandria via LeMat-Bulk
Functional: PBE
Structure: relaxed

Lattice parameters (Å, degrees): 5.890 8.133 10.128 66.32 73.21 89.99
Positions (direct):
1 Sr 0.336 0.337 0.326
2 Sr 0.673 0.172 0.656
3 Sr 0.000 0.500 0.000
4 Sr 0.664 0.663 0.674
5 Sr 0.327 0.828 0.344
6 Mg 0.838 0.606 0.321
7 Mg 0.500 0.222 0.000
8 Mg 0.500 0.778 0.000
9 Mg 0.838 0.073 0.321
10 Mg 0.162 0.394 0.679
11 Mg 0.162 0.927 0.679
12 Pm 0.000 0.000 0.000

Calculated values
As for the energy relative to the elements: -4.9 kJ/mol of atoms. For the spin magnetization, the calculation gives 0.00 μB/cell.